1.
# Nd2TmGe3Ir4

A relaxed structure of Nd2TmGe3Ir4 (PBE, Alexandria).

magnetic moment: 0.00 μB/cell
space-group type: P-4m2 (115)
N(E_F): 5.36 states/eV per cell
energy of formation: -0.80 eV per atom

The structure in CIF format:
```
data_Nd2TmGe3Ir4
_cell_length_a 4.196
_cell_length_b 4.196
_cell_length_c 11.208
_cell_angle_alpha 90.00
_cell_angle_beta 90.00
_cell_angle_gamma 90.00
_space_group_name_H-M_alt 'P 1'
_space_group_IT_number 1
_space_group_name_Hall 'P 1'
loop_
_atom_site_label
_atom_site_type_symbol
_atom_site_fract_x
_atom_site_fract_y
_atom_site_fract_z
_atom_site_occupancy
Nd1 Nd 0.500 0.000 0.231 1
Nd2 Nd 0.000 0.500 0.769 1
Tm1 Tm 0.500 0.500 0.500 1
Ge1 Ge 0.000 0.000 0.500 1
Ge2 Ge 0.500 0.000 0.878 1
Ge3 Ge 0.000 0.500 0.122 1
Ir1 Ir 0.500 0.500 0.000 1
Ir2 Ir 0.000 0.000 0.000 1
Ir3 Ir 0.500 0.000 0.657 1
Ir4 Ir 0.000 0.500 0.343 1
```


2.
# NdZnGe2Ir

A relaxed structure of NdZnGe2Ir (PBE, Alexandria).

magnetic moment: 0.00 μB/cell
space-group type: I-4m2 (119)
N(E_F): 2.69 states/eV per cell
energy of formation: -0.57 eV per atom

The structure in CIF format:
```
data_NdZnGe2Ir
_cell_length_a 4.142
_cell_length_b 4.142
_cell_length_c 6.190
_cell_angle_alpha 109.55
_cell_angle_beta 109.55
_cell_angle_gamma 90.00
_space_group_name_H-M_alt 'P 1'
_space_group_IT_number 1
_space_group_name_Hall 'P 1'
loop_
_atom_site_label
_atom_site_type_symbol
_atom_site_fract_x
_atom_site_fract_y
_atom_site_fract_z
_atom_site_occupancy
Nd1 Nd 0.000 0.000 0.000 1
Zn1 Zn 0.250 0.750 0.500 1
Ge1 Ge 0.617 0.617 0.234 1
Ge2 Ge 0.383 0.383 0.766 1
Ir1 Ir 0.750 0.250 0.500 1
```


3.
# Nd2ZnGe4Ir3

A relaxed structure of Nd2ZnGe4Ir3 (PBE, Alexandria).

magnetic moment: 0.00 μB/cell
space-group type: P-4m2 (115)
N(E_F): 5.70 states/eV per cell
energy of formation: -0.67 eV per atom

The structure in CIF format:
```
data_Nd2ZnGe4Ir3
_cell_length_a 4.300
_cell_length_b 4.300
_cell_length_c 10.260
_cell_angle_alpha 90.00
_cell_angle_beta 90.00
_cell_angle_gamma 90.00
_space_group_name_H-M_alt 'P 1'
_space_group_IT_number 1
_space_group_name_Hall 'P 1'
loop_
_atom_site_label
_atom_site_type_symbol
_atom_site_fract_x
_atom_site_fract_y
_atom_site_fract_z
_atom_site_occupancy
Nd1 Nd 0.500 0.000 0.242 1
Nd2 Nd 0.000 0.500 0.758 1
Zn1 Zn 0.500 0.500 0.500 1
Ge1 Ge 0.500 0.500 0.000 1
Ge2 Ge 0.000 0.000 0.000 1
Ge3 Ge 0.500 0.000 0.638 1
Ge4 Ge 0.000 0.500 0.362 1
Ir1 Ir 0.000 0.000 0.500 1
Ir2 Ir 0.500 0.000 0.877 1
Ir3 Ir 0.000 0.500 0.123 1
```


4.
# Nd2ZrGe3Ir4

A relaxed structure of Nd2ZrGe3Ir4 (PBE, Alexandria).

magnetic moment: 0.00 μB/cell
space-group type: P-4m2 (115)
N(E_F): 4.48 states/eV per cell
energy of formation: -0.81 eV per atom

The structure in CIF format:
```
data_Nd2ZrGe3Ir4
_cell_length_a 4.197
_cell_length_b 4.197
_cell_length_c 11.026
_cell_angle_alpha 90.00
_cell_angle_beta 90.00
_cell_angle_gamma 90.00
_space_group_name_H-M_alt 'P 1'
_space_group_IT_number 1
_space_group_name_Hall 'P 1'
loop_
_atom_site_label
_atom_site_type_symbol
_atom_site_fract_x
_atom_site_fract_y
_atom_site_fract_z
_atom_site_occupancy
Nd1 Nd 0.500 0.000 0.234 1
Nd2 Nd 0.000 0.500 0.766 1
Zr1 Zr 0.500 0.500 0.500 1
Ge1 Ge 0.000 0.000 0.500 1
Ge2 Ge 0.500 0.000 0.875 1
Ge3 Ge 0.000 0.500 0.125 1
Ir1 Ir 0.500 0.500 0.000 1
Ir2 Ir 0.000 0.000 0.000 1
Ir3 Ir 0.500 0.000 0.649 1
Ir4 Ir 0.000 0.500 0.351 1
```


5.
# NiGe2Ir

A relaxed structure of NiGe2Ir (PBE, Alexandria).

magnetic moment: 0.00 μB/cell
space-group type: Fm-3m (225)
N(E_F): 2.84 states/eV per cell
energy of formation: -0.04 eV per atom

The structure in CIF format:
```
data_NiGe2Ir
_cell_length_a 4.313
_cell_length_b 4.313
_cell_length_c 4.313
_cell_angle_alpha 60.00
_cell_angle_beta 60.00
_cell_angle_gamma 60.00
_space_group_name_H-M_alt 'P 1'
_space_group_IT_number 1
_space_group_name_Hall 'P 1'
loop_
_atom_site_label
_atom_site_type_symbol
_atom_site_fract_x
_atom_site_fract_y
_atom_site_fract_z
_atom_site_occupancy
Ni1 Ni 0.000 0.000 0.000 1
Ge1 Ge 0.250 0.250 0.250 1
Ge2 Ge 0.750 0.750 0.750 1
Ir1 Ir 0.500 0.500 0.500 1
```


6.
# NiGe2Ir2

A relaxed structure of NiGe2Ir2 (PBE, Alexandria).

magnetic moment: 0.00 μB/cell
space-group type: P4/mbm (127)
excess energy over the best structure of this formula in the dataset: 0 meV per atom
N(E_F): 5.62 states/eV per cell
energy of formation: -0.02 eV per atom

The structure in CIF format:
```
data_NiGe2Ir2
_cell_length_a 7.183
_cell_length_b 7.183
_cell_length_c 2.878
_cell_angle_alpha 90.00
_cell_angle_beta 90.00
_cell_angle_gamma 90.00
_space_group_name_H-M_alt 'P 1'
_space_group_IT_number 1
_space_group_name_Hall 'P 1'
loop_
_atom_site_label
_atom_site_type_symbol
_atom_site_fract_x
_atom_site_fract_y
_atom_site_fract_z
_atom_site_occupancy
Ni1 Ni 0.000 0.000 0.000 1
Ni2 Ni 0.500 0.500 0.000 1
Ge1 Ge 0.157 0.657 0.500 1
Ge2 Ge 0.657 0.843 0.500 1
Ge3 Ge 0.843 0.343 0.500 1
Ge4 Ge 0.343 0.157 0.500 1
Ir1 Ir 0.356 0.856 0.000 1
Ir2 Ir 0.856 0.644 0.000 1
Ir3 Ir 0.644 0.144 0.000 1
Ir4 Ir 0.144 0.356 0.000 1
```


7.
# Ni4Ge2Ir

A relaxed structure of Ni4Ge2Ir (PBE, Alexandria).

magnetic moment: 0.00 μB/cell
space-group type: Cmce (64)
excess energy over the best structure of this formula in the dataset: 0 meV per atom
N(E_F): 15.72 states/eV per cell
energy of formation: 0.00 eV per atom

The structure in CIF format:
```
data_Ni4Ge2Ir
_cell_length_a 8.299
_cell_length_b 4.944
_cell_length_c 4.980
_cell_angle_alpha 119.79
_cell_angle_beta 90.00
_cell_angle_gamma 90.00
_space_group_name_H-M_alt 'P 1'
_space_group_IT_number 1
_space_group_name_Hall 'P 1'
loop_
_atom_site_label
_atom_site_type_symbol
_atom_site_fract_x
_atom_site_fract_y
_atom_site_fract_z
_atom_site_occupancy
Ni1 Ni 0.811 0.502 0.000 1
Ni2 Ni 0.750 0.501 0.500 1
Ni3 Ni 0.750 0.001 0.500 1
Ni4 Ni 0.689 0.002 0.000 1
Ni5 Ni 0.311 0.998 0.000 1
Ni6 Ni 0.250 0.999 0.500 1
Ni7 Ni 0.250 0.499 0.500 1
Ni8 Ni 0.189 0.498 0.000 1
Ge1 Ge 0.000 0.697 0.393 1
Ge2 Ge 0.000 0.304 0.607 1
Ge3 Ge 0.500 0.804 0.607 1
Ge4 Ge 0.500 0.197 0.393 1
Ir1 Ir 0.000 0.000 0.000 1
Ir2 Ir 0.500 0.500 0.000 1
```


8.
# Ni14GeIr

A relaxed structure of Ni14GeIr (PBE, Alexandria).

magnetic moment: 8.32 μB/cell
space-group type: Amm2 (38)
N(E_F): 26.14 states/eV per cell
energy of formation: -0.03 eV per atom

The structure in CIF format:
```
data_Ni14GeIr
_cell_length_a 5.058
_cell_length_b 5.058
_cell_length_c 8.243
_cell_angle_alpha 90.00
_cell_angle_beta 90.00
_cell_angle_gamma 120.45
_space_group_name_H-M_alt 'P 1'
_space_group_IT_number 1
_space_group_name_Hall 'P 1'
loop_
_atom_site_label
_atom_site_type_symbol
_atom_site_fract_x
_atom_site_fract_y
_atom_site_fract_z
_atom_site_occupancy
Ni1 Ni 0.210 0.790 0.000 1
Ni2 Ni 0.709 0.291 0.000 1
Ni3 Ni 0.038 0.458 0.500 1
Ni4 Ni 0.211 0.292 0.000 1
Ni5 Ni 0.542 0.962 0.500 1
Ni6 Ni 0.708 0.789 0.000 1
Ni7 Ni 0.377 0.124 0.756 1
Ni8 Ni 0.377 0.124 0.244 1
Ni9 Ni 0.876 0.623 0.756 1
Ni10 Ni 0.876 0.623 0.244 1
Ni11 Ni 0.375 0.625 0.753 1
Ni12 Ni 0.375 0.625 0.247 1
Ni13 Ni 0.875 0.125 0.756 1
Ni14 Ni 0.875 0.125 0.244 1
Ge1 Ge 0.538 0.462 0.500 1
Ir1 Ir 0.039 0.961 0.500 1
```


9.
# Ni2GeIr

A relaxed structure of Ni2GeIr (PBE, Alexandria).

magnetic moment: 0.00 μB/cell
space-group type: I-42d (122)
N(E_F): 9.33 states/eV per cell
energy of formation: 0.20 eV per atom

The structure in CIF format:
```
data_Ni2GeIr
_cell_length_a 3.576
_cell_length_b 3.576
_cell_length_c 9.087
_cell_angle_alpha 78.65
_cell_angle_beta 78.65
_cell_angle_gamma 90.00
_space_group_name_H-M_alt 'P 1'
_space_group_IT_number 1
_space_group_name_Hall 'P 1'
loop_
_atom_site_label
_atom_site_type_symbol
_atom_site_fract_x
_atom_site_fract_y
_atom_site_fract_z
_atom_site_occupancy
Ni1 Ni 0.623 0.125 0.250 1
Ni2 Ni 0.127 0.625 0.250 1
Ni3 Ni 0.375 0.377 0.750 1
Ni4 Ni 0.875 0.873 0.750 1
Ge1 Ge 0.500 0.500 0.000 1
Ge2 Ge 0.250 0.750 0.500 1
Ir1 Ir 0.000 0.000 0.000 1
Ir2 Ir 0.750 0.250 0.500 1
```


10.
# Ni2GeIr

A relaxed structure of Ni2GeIr (PBE, Alexandria).

magnetic moment: 0.00 μB/cell
space-group type: I4/mmm (139)
N(E_F): 7.34 states/eV per cell
energy of formation: -0.13 eV per atom

The structure in CIF format:
```
data_Ni2GeIr
_cell_length_a 3.888
_cell_length_b 3.888
_cell_length_c 7.244
_cell_angle_alpha 105.53
_cell_angle_beta 105.53
_cell_angle_gamma 90.07
_space_group_name_H-M_alt 'P 1'
_space_group_IT_number 1
_space_group_name_Hall 'P 1'
loop_
_atom_site_label
_atom_site_type_symbol
_atom_site_fract_x
_atom_site_fract_y
_atom_site_fract_z
_atom_site_occupancy
Ni1 Ni 0.883 0.883 0.266 1
Ni2 Ni 0.117 0.117 0.734 1
Ni3 Ni 0.500 0.000 0.500 1
Ni4 Ni 0.000 0.500 0.500 1
Ge1 Ge 0.380 0.380 0.261 1
Ge2 Ge 0.620 0.620 0.739 1
Ir1 Ir 0.250 0.750 0.000 1
Ir2 Ir 0.750 0.250 0.000 1
```


Q: What is the magnetic moment in the sixth record?
A: 0.00 μB/cell


Q: Among the records above, which one has the lowest N(E_F)?
A: NdZnGe2Ir


Repeat the sixth record exactly.
# NiGe2Ir2

A relaxed structure of NiGe2Ir2 (PBE, Alexandria).

magnetic moment: 0.00 μB/cell
space-group type: P4/mbm (127)
excess energy over the best structure of this formula in the dataset: 0 meV per atom
N(E_F): 5.62 states/eV per cell
energy of formation: -0.02 eV per atom

The structure in CIF format:
```
data_NiGe2Ir2
_cell_length_a 7.183
_cell_length_b 7.183
_cell_length_c 2.878
_cell_angle_alpha 90.00
_cell_angle_beta 90.00
_cell_angle_gamma 90.00
_space_group_name_H-M_alt 'P 1'
_space_group_IT_number 1
_space_group_name_Hall 'P 1'
loop_
_atom_site_label
_atom_site_type_symbol
_atom_site_fract_x
_atom_site_fract_y
_atom_site_fract_z
_atom_site_occupancy
Ni1 Ni 0.000 0.000 0.000 1
Ni2 Ni 0.500 0.500 0.000 1
Ge1 Ge 0.157 0.657 0.500 1
Ge2 Ge 0.657 0.843 0.500 1
Ge3 Ge 0.843 0.343 0.500 1
Ge4 Ge 0.343 0.157 0.500 1
Ir1 Ir 0.356 0.856 0.000 1
Ir2 Ir 0.856 0.644 0.000 1
Ir3 Ir 0.644 0.144 0.000 1
Ir4 Ir 0.144 0.356 0.000 1
```